(1)
# ZrTiRh4 PBE relaxed
# **E_tot**: -47.5 eV/cell
# **DFT formation energy**: -0.273 eV/atom
data_ZrTiRh4
_chemical_formula_sum 'Zr1 Ti1 Rh4'
_cell_length_a 4.165
_cell_length_b 4.165
_cell_length_c 6.207
_cell_angle_alpha 90.00
_cell_angle_beta 90.00
_cell_angle_gamma 90.00
_space_group_name_H-M_alt 'P 4/m m m'
_space_group_IT_number 123
_space_group_name_Hall '-P 4 2'
loop_
_atom_site_label
_atom_site_fract_x
_atom_site_fract_y
_atom_site_fract_z
_atom_site_occupancy
Zr1 0.000 0.000 0.000 1
Ti1 0.500 0.500 0.500 1
Rh1 0.000 0.500 0.268 1

=====

(2)
# NiPRh2 PBE relaxed
# **E_tot**: -99.4 eV/cell
# **DFT formation energy**: 0.263 eV/atom
# **Energy above the most stable polymorph in this dataset**: 0.558 eV/atom
data_NiPRh2
_chemical_formula_sum 'Ni4 P4 Rh8'
_cell_length_a 5.110
_cell_length_b 5.110
_cell_length_c 11.132
_cell_angle_alpha 90.00
_cell_angle_beta 90.00
_cell_angle_gamma 90.00
_space_group_name_H-M_alt 'I -4 2 d'
_space_group_IT_number 122
_space_group_name_Hall 'I -4 2bw'
loop_
_atom_site_label
_atom_site_fract_x
_atom_site_fract_y
_atom_site_fract_z
_atom_site_occupancy
Ni1 0.000 0.000 0.000 1
P1 0.000 0.000 0.500 1
Rh1 0.224 0.250 0.625 1

=====

What is the formula in the first record?
ZrTiRh4